Material: Zn2Te2O7
Method: DFT, PBE-GGA
State: relaxed Values from VASP.

The structure in Quantum ESPRESSO input format:
```
&SYSTEM
  ibrav = 0, nat = 22, ntyp = 3
/
ATOMIC_SPECIES
O 16.00 O.upf
Te 127.60 Te.upf
Zn 65.41 Zn.upf
CELL_PARAMETERS angstrom
-1.9190 3.5371 3.7166
2.7775 -2.7741 3.6687
8.7855 5.4569 -2.6369
ATOMIC_POSITIONS crystal
O 0.6793 0.6464 0.0320
O 0.3018 0.6686 0.1897
O 0.5144 0.7579 0.7782
O 0.8146 0.7578 0.3060
O 0.1598 0.2696 0.6985
O 0.6512 0.4169 0.5474
O 0.9995 0.8453 0.8075
O 0.9904 0.1748 0.1807
O 0.4924 0.2173 0.2534
O 0.1533 0.7447 0.5226
O 0.6899 0.2973 0.7922
O 0.9752 0.1893 0.4490
O 0.0932 0.4435 0.9527
O 0.4160 0.1223 0.0166
Te 0.1304 0.9166 0.3668
Te 0.2564 0.3457 0.1182
Te 0.7950 0.6107 0.8777
Te 0.8378 0.1454 0.6269
Zn 0.3694 0.5416 0.6301
Zn 0.6200 0.9182 0.1534
Zn 0.3295 0.0430 0.8363
Zn 0.7305 0.4269 0.3639
```

Values from the calculation:
ΔE_f (raw) (eV per atom): -1.0909
Space group: No. 1